Entry 1:
VASP calculation (PBE) on a relaxed structure of Ho2ThRu.

## Properties
- mass density (g/cm³) = 10.08
- uncorrected energy (eV/atom) = -6.821
- SG = Pnma (62)
- energy of formation from the pure elements (eV per atom) = -0.358

a = 6.334 Å, b = 7.219 Å, c = 9.549 Å
α = 90.00°, β = 90.00°, γ = 90.00°
Positions (direct):
1 Th 0.347 0.454 0.750
2 Ho 0.668 0.826 0.567
3 Ru 0.966 0.632 0.750
4 Ho 0.832 0.326 0.567
5 Ru 0.034 0.368 0.250
6 Ho 0.168 0.674 0.433
7 Th 0.653 0.546 0.250
8 Ho 0.832 0.326 0.933
9 Ho 0.332 0.174 0.433
10 Th 0.847 0.046 0.250
11 Ho 0.332 0.174 0.067
12 Ho 0.668 0.826 0.933
13 Ru 0.466 0.868 0.250
14 Th 0.153 0.954 0.750
15 Ru 0.534 0.132 0.750
16 Ho 0.168 0.674 0.067



Entry 2:
VASP calculation (PBE) on a relaxed structure of Ti4GeAs.

## Properties
- mass density (g/cm³) = 5.77
- uncorrected energy (eV/atom) = -7.448
- SG = P4/mcc (124)
- energy of formation from the pure elements (eV per atom) = -0.640

a = 5.176 Å, b = 6.139 Å, c = 6.139 Å
α = 90.00°, β = 90.00°, γ = 90.00°
Positions (direct):
1 As 0.250 0.000 0.000
2 As 0.750 0.000 0.000
3 Ti 0.000 0.153 0.653
4 Ti 0.500 0.653 0.153
5 Ti 0.000 0.347 0.153
6 Ge 0.250 0.500 0.500
7 Ti 0.500 0.347 0.847
8 Ti 0.000 0.847 0.347
9 Ti 0.000 0.653 0.847
10 Ge 0.750 0.500 0.500
11 Ti 0.500 0.153 0.347
12 Ti 0.500 0.847 0.653